Material: Re2SbMo
Method: DFT, PBE
State: relaxed

Cell lengths 4.0549, 4.0549, 9.5788 Å; angles 77.78, 77.78, 90.00 degrees
Fractional coordinates of all 8 atoms:
Re 0.5723 0.1250 0.2500
Re 0.1777 0.6250 0.2500
Re 0.8750 0.8223 0.7500
Re 0.3750 0.4277 0.7500
Sb 0.0000 0.0000 0.0000
Sb 0.7500 0.2500 0.5000
Mo 0.5000 0.5000 0.0000
Mo 0.2500 0.7500 0.5000

**Spin magnetization**: 0.00 μB/atom
**D(E_F)**: 4.36 states/eV/f.u.
**E_form (uncorrected)**: 0.9449 eV per atom
**Final energy**: -0.663 Ry per atom


Material: KNi2As
Method: DFT, PBE
State: relaxed

Cell lengths 3.0569, 3.0591, 7.8514 Å; angles 90.00, 90.00, 90.00 degrees
Fractional coordinates of all 4 atoms:
As 0.5000 0.5000 0.2500
Ni 0.0000 0.0000 0.0897
Ni 0.0000 0.0000 0.4103
K 0.5000 0.5000 0.7500

**ΔH_f (0 K)**: 0.2642 eV per atom
**Spin magnetization**: 0.00 μB/atom
**D(E_F)**: 2.40 states/eV/f.u.
**Final energy**: -0.299 Ry per atom